Er2IrBr PBE optimized geometry; space group = R-3m; excess energy over the best structure of this formula in the dataset = 0.0 meV/atom; theoretical density = 9.5 g cm⁻³; DOS(E_F) = 2.90 states/eV/cell
1.0
4.029 0.000 0.000
-2.014 3.489 0.000
0.000 0.000 22.564
Er Ir Br
6 3 3
Direct
0.000 0.000 0.230
0.000 0.000 0.770
0.333 0.667 0.437
0.333 0.667 0.896
0.667 0.333 0.104
0.667 0.333 0.563
0.000 0.000 0.500
0.333 0.667 0.167
0.667 0.333 0.833
0.000 0.000 0.000
0.333 0.667 0.667
0.667 0.333 0.333


MnCo2MoH PBE optimized geometry; space group = P4/mmm; excess energy over the best structure of this formula in the dataset = 0.0 meV/atom; theoretical density = 9.1 g cm⁻³; DOS(E_F) = 3.04 states/eV/cell
1.0
3.623 0.000 0.000
0.000 3.623 0.000
0.000 0.000 3.749
Mn Co Mo H
1 2 1 1
Direct
0.000 0.000 0.000
0.000 0.500 0.500
0.500 0.000 0.500
0.500 0.500 0.000
0.000 0.000 0.500


K3Cu2AuI8 PBE optimized geometry; DFT total energy = -35.93 eV for the cell shown; space group = P-3m1; theoretical density = 4.3 g cm⁻³; DOS(E_F) = 6.46 states/eV/cell
1.0
8.074 0.000 0.000
-4.037 6.992 0.000
0.000 0.000 10.026
K Cu Au I
3 2 1 8
Direct
0.000 0.000 0.000
0.333 0.667 0.607
0.667 0.333 0.393
0.333 0.667 0.198
0.667 0.333 0.802
0.000 0.000 0.500
0.166 0.332 0.321
0.166 0.834 0.321
0.332 0.166 0.679
0.333 0.667 0.951
0.667 0.333 0.049
0.668 0.834 0.321
0.834 0.166 0.679
0.834 0.668 0.679


The lowest DOS(E_F) belongs to which entry? Er2IrBr